Entry 1:
DFT (PBE) results for a geometry-optimized ScFeSe2 structure.

Total magnetic moment, μB/f.u.: 2.93
D(E_F), states/eV/atom: 0.432
Crystal system: tetragonal
Energy above the lowest structure with this stoichiometry, meV per atom: 262.3
Energy relative to the elements, uncorrected, meV per atom: -611

a = 4.5823 Å, b = 4.5839 Å, c = 3.3528 Å
α = 90.00°, β = 90.00°, γ = 90.00°
Last column: nearest neighbours and their distance in Å.
Fractional positions:
Fe 0.5000 0.0000 0.5000  8 Se 2.84
Se 0.5000 0.5000 0.0000  4 Sc 2.84, 4 Fe 2.84
Se 0.0000 0.0000 0.0000  4 Fe 2.84, 4 Sc 2.84
Sc 0.0000 0.5000 0.5000  8 Se 2.84

Entry 2:
DFT (PBE) results for a geometry-optimized ScFe2Se structure.

Total magnetic moment, μB/f.u.: 4.49
D(E_F), states/eV/atom: 0.634
Crystal system: monoclinic
Energy relative to the elements, uncorrected, meV per atom: -190

a = 4.8863 Å, b = 4.8863 Å, c = 4.1744 Å
α = 77.00°, β = 77.00°, γ = 39.43°
Last column: nearest neighbours and their distance in Å.
Fractional positions:
Sc 0.7500 0.7500 0.7500  4 Se 2.66, 6 Fe 2.72-2.89
Fe 0.5084 0.5084 0.4788  4 Fe 2.56-2.78, 1 Sc 2.72, 3 Se 2.75-2.77
Fe 0.9916 0.9916 0.0213  4 Fe 2.56-2.78, 1 Sc 2.72, 3 Se 2.75-2.77
Se 0.2500 0.2500 0.2500  4 Sc 2.66, 6 Fe 2.75-2.77

Entry 3:
DFT (PBE) results for a geometry-optimized ScFe2Se structure.

Total magnetic moment, μB/f.u.: 4.82
D(E_F), states/eV/atom: 0.748
Crystal system: cubic
Energy relative to the elements, uncorrected, meV per atom: -28

a = 4.4318 Å, b = 4.4318 Å, c = 4.4318 Å
α = 60.00°, β = 60.00°, γ = 60.00°
Last column: nearest neighbours and their distance in Å.
Fractional positions:
Fe 0.2500 0.2500 0.2500  4 Fe 2.71, 4 Sc 2.71
Fe 0.0000 0.0000 0.0000  4 Se 2.71, 4 Fe 2.71
Sc 0.5000 0.5000 0.5000  4 Fe 2.71, 4 Se 2.71
Se 0.7500 0.7500 0.7500  4 Fe 2.71, 4 Sc 2.71

Entry 4:
DFT (PBE) results for a geometry-optimized ScFe3Se structure.

Total magnetic moment, μB/f.u.: 5.34
D(E_F), states/eV/atom: 1.653
Crystal system: cubic
Energy above the lowest structure with this stoichiometry, meV per atom: 0.0
Energy relative to the elements, uncorrected, meV per atom: 315

a = 4.3797 Å, b = 4.3797 Å, c = 4.3797 Å
α = 90.00°, β = 90.00°, γ = 90.00°
Last column: nearest neighbours and their distance in Å.
Fractional positions:
Sc 0.5000 0.5000 0.5000  12 Fe 3.10
Fe 0.0000 0.5000 0.0000  2 Se 2.19
Fe 0.0000 0.0000 0.5000  2 Se 2.19
Fe 0.5000 0.0000 0.0000  2 Se 2.19
Se 0.0000 0.0000 0.0000  6 Fe 2.19

What is the formula in the first record?
ScFeSe2

Which value of D(E_F) does entry 1 give?
0.432 states/eV/atom

Which of these has the lowest D(E_F)?
ScFeSe2

Which value of energy relative to the elements, uncorrected does entry 4 give?
315 meV per atom